{
  "formula": "LiBe2Ag",
  "functional": "GGA-PBEsol",
  "state": "relaxed",
  "lattice": [[3.734, 0.000, 0.000], [0.000, 3.734, 0.000], [0.000, 0.000, 3.262]],
  "species": ["Li", "Be", "Be", "Ag"],
  "fractional_positions": [[0.000, 0.000, 0.000], [0.000, 0.500, 0.500], [0.500, 0.000, 0.500], [0.500, 0.500, 0.000]],
  "space_group": "No. 123",
  "ef_ev_per_atom": 0.15,
  "volume_a3_per_fu": 45.5,
  "polymorph_energy_mev_per_atom": 70
}